A plane-wave DFT calculation with PBE-GGA was carried out for a geometry-optimized Li5I2N structure.

Summary:
E_form (uncorrected): -763 meV per atom
Theoretical density: 3.0 g/cm3
DFT total energy: -27.1 eV per formula unit

a = 8.3925 Å, b = 5.9195 Å, c = 13.2656 Å
α = 90.00°, β = 90.00°, γ = 90.00°
Element x y z (fractional)
Li (0.0000, 0.0000, 0.0000)
Li (0.0000, 0.5000, 0.0000)
Li (0.0336, 0.2500, 0.1805)
Li (0.2022, 0.5254, 0.5911)
Li (0.2022, 0.9746, 0.5911)
Li (0.2470, 0.2500, 0.9200)
Li (0.2530, 0.7500, 0.4200)
Li (0.2978, 0.0254, 0.0911)
Li (0.2978, 0.4746, 0.0911)
Li (0.4664, 0.7500, 0.6805)
Li (0.5000, 0.0000, 0.5000)
Li (0.5000, 0.5000, 0.5000)
Li (0.5336, 0.2500, 0.3195)
Li (0.7022, 0.5254, 0.9089)
Li (0.7022, 0.9746, 0.9089)
Li (0.7470, 0.2500, 0.5800)
Li (0.7530, 0.7500, 0.0800)
Li (0.7978, 0.0254, 0.4089)
Li (0.7978, 0.4746, 0.4089)
Li (0.9664, 0.7500, 0.8195)
I (0.0761, 0.2500, 0.7450)
I (0.1348, 0.2500, 0.4135)
I (0.3652, 0.7500, 0.9135)
I (0.4239, 0.7500, 0.2450)
I (0.5761, 0.2500, 0.7550)
I (0.6348, 0.2500, 0.0865)
I (0.8652, 0.7500, 0.5865)
I (0.9239, 0.7500, 0.2550)
N (0.1419, 0.2500, 0.0524)
N (0.3581, 0.7500, 0.5524)
N (0.6419, 0.2500, 0.4476)
N (0.8581, 0.7500, 0.9476)

A plane-wave DFT calculation with PBE-GGA was carried out for a geometry-optimized Np4Rh12Au structure.

Summary:
Theoretical density: 13.5 g/cm3
Formation energy from the elements: -3.45 eV per formula unit
DFT total energy: -146.7 eV per formula unit

a = 7.2484 Å, b = 7.2484 Å, c = 7.2484 Å
α = 109.47°, β = 109.47°, γ = 109.47°
Element x y z (fractional)
Np (0.0000, 0.0000, 0.5000)
Np (0.0000, 0.5000, 0.0000)
Np (0.5000, 0.0000, 0.0000)
Np (0.5000, 0.5000, 0.5000)
Rh (0.0000, 0.3056, 0.3056)
Rh (0.0000, 0.6944, 0.6944)
Rh (0.2500, 0.5000, 0.7500)
Rh (0.2500, 0.7500, 0.5000)
Rh (0.3056, 0.0000, 0.3056)
Rh (0.3056, 0.3056, 0.0000)
Rh (0.5000, 0.2500, 0.7500)
Rh (0.5000, 0.7500, 0.2500)
Rh (0.6944, 0.0000, 0.6944)
Rh (0.6944, 0.6944, 0.0000)
Rh (0.7500, 0.2500, 0.5000)
Rh (0.7500, 0.5000, 0.2500)
Au (0.0000, 0.0000, 0.0000)

Which value of DFT total energy does entry 1 give? -27.1 eV per formula unit

The lowest DFT total energy belongs to which entry? Np4Rh12Au